Computed, not measured: a geometry-optimized Sc4CuIr2 structure at the PBE-GGA level of DFT.

```
Sc4CuIr2
1.0
4.3561 0.0000 1.3609
1.9654 3.8875 1.3609
-0.0528 -0.0325 7.8209
Sc Cu Ir
4 1 2
Cartesian
5.4919 3.3773 5.3773
0.7768 0.4777 5.1655
3.9184 2.4097 2.7618
2.3503 1.4453 7.7810
0.0000 0.0000 0.0000
4.6853 2.8813 7.9589
1.5834 0.9737 2.5838
```

Calculated values
ΔE_f: -0.7277 eV per atom
SG: R-3m (166)
total moment: 0.0 μB/f.u.
ρ: 7.85 Mg/m³
E: -52.2 eV for the cell shown

---

Computed, not measured: a geometry-optimized NaBi5Pd4 structure at the PBE-GGA level of DFT.

```
NaBi5Pd4
1.0
4.6094 0.0000 -1.4631
-0.0890 6.8922 -0.2803
-0.0852 -0.1509 7.7238
Na Bi Pd
1 5 4
Cartesian
2.3047 0.0000 -0.7316
0.7058 -0.0264 2.2236
0.7069 3.4875 2.2269
3.7284 3.2538 3.7535
2.2602 3.4461 -0.8717
3.7294 6.7677 3.7568
2.9769 5.1771 1.3862
-0.0031 1.7703 -0.0098
1.4583 1.5642 4.5942
4.4383 4.9710 5.9902
```

Calculated values
ΔE_f: -0.2462 eV per atom
SG: C2/m (12)
total moment: 0.0 μB/f.u.
ρ: 10.15 Mg/m³
E: -44.0 eV for the cell shown

---

Computed, not measured: a geometry-optimized Mg2BeCd structure at the PBE-GGA level of DFT.

```
Mg2BeCd
1.0
5.1360 0.0004 0.0000
1.7329 4.8349 0.0000
-3.4345 -2.4177 2.9561
Be Mg Cd
1 2 1
Cartesian
3.4345 2.4177 0.0000
0.0000 0.0000 0.0000
0.8664 2.4174 1.4780
2.5680 0.0002 1.4780
```

Calculated values
ΔE_f: 0.2480 eV per atom
SG: I-4m2 (119)
total moment: 0.0 μB/f.u.
ρ: 3.85 Mg/m³
offset from the most stable computed form: 99 meV/atom
E: -6.8 eV for the cell shown

---

Computed, not measured: a geometry-optimized CuC5 structure at the PBE-GGA level of DFT.

```
CuC5
1.0
-7.0134 0.8287 -1.0614
6.1131 -1.8797 3.1777
0.0922 2.2818 1.1724
Cu C
1 5
Cartesian
4.6222 -0.4217 3.2676
-4.2482 0.2582 -0.1684
1.5602 -0.9403 1.7074
-2.9452 -0.0107 0.2524
0.6923 0.3892 1.9984
-6.6194 1.8978 -0.3629
```

Calculated values
ΔE_f: 0.9663 eV per atom
SG: Amm2 (38)
total moment: 0.0 μB/f.u.
ρ: 4.50 Mg/m³
offset from the most stable computed form: 186 meV/atom
E: -44.4 eV for the cell shown

---

Computed, not measured: a geometry-optimized CdH4Pd12 structure at the PBE-GGA level of DFT.

```
CdH4Pd12
1.0
6.5982 0.0000 0.0000
-2.1994 6.2208 0.0000
-2.1994 -3.1104 5.3874
Cd H Pd
1 4 12
Cartesian
2.1994 3.1104 5.3873
-1.0997 3.1104 0.0000
3.2991 0.0000 0.0000
1.0997 1.5552 2.6937
-3.2991 4.6656 2.6937
4.4013 1.5534 0.6844
0.5588 2.5277 1.0031
3.8400 -0.9779 3.6999
-0.0026 -1.7410 4.3843
-1.6406 4.0883 1.6875
1.6406 0.5827 4.3842
2.1969 0.1840 1.6875
0.0025 2.9264 3.6999
2.2019 4.8514 1.0030
2.7582 2.7153 2.6968
-0.5588 0.3951 2.6906
-2.2019 1.5570 4.7030
```

Calculated values
SG: Im-3 (204)
total moment: 0.0 μB/f.u.
ρ: 10.46 Mg/m³
E: -76.8 eV for the cell shown

---

Computed, not measured: a geometry-optimized AcCeAl3 structure at the PBE-GGA level of DFT.

```
AcCeAl3
1.0
4.5326 0.0000 -0.6241
0.0000 4.4185 0.0000
-0.4145 0.0000 13.7618
Ac Ce Al
2 2 6
Cartesian
3.8422 3.3139 11.1333
0.2760 1.1046 2.0044
0.7622 3.3139 5.5357
3.3560 1.1046 7.6020
2.7171 3.3139 2.9621
1.4010 1.1046 10.1756
2.3568 3.3139 0.3454
1.7613 1.1046 12.7923
2.9161 1.1046 4.4076
1.2020 3.3139 8.7301
```

Calculated values
ΔE_f: -0.3074 eV per atom
SG: Cmcm (63)
total moment: 0.9 μB/f.u.
ρ: 5.42 Mg/m³
E: -45.6 eV for the cell shown